# 1
Compound: Cr2FeRu
Source: the Alexandria database
Functional: PBE-GGA
Structure: relaxed

Values from the calculation:
Relative energy among the computed polymorphs, eV/atom: 0.032

abc: 3.6833 3.6833 7.2008
angles: 90.00 90.00 90.00
Closest atoms and distances in Å follow each position.
Sites, in units of the cell vectors:
Cr (0.0000, 0.0000, 0.0000)  4 Cr 2.58, 4 Fe 2.58, 4 Ru 2.60
Cr (0.0000, 0.5000, 0.2500)  4 Cr 2.58, 4 Ru 2.58, 4 Fe 2.60
Cr (0.5000, 0.0000, 0.7500)  4 Cr 2.58, 4 Ru 2.58, 4 Fe 2.60
Cr (0.5000, 0.5000, 0.5000)  4 Cr 2.58, 4 Fe 2.58, 4 Ru 2.60
Fe (0.0000, 0.5000, 0.7500)  8 Cr 2.58-2.60, 4 Ru 2.58
Fe (0.5000, 0.0000, 0.2500)  8 Cr 2.58-2.60, 4 Ru 2.58
Ru (0.0000, 0.0000, 0.5000)  8 Cr 2.58-2.60, 4 Fe 2.58
Ru (0.5000, 0.5000, 0.0000)  8 Cr 2.58-2.60, 4 Fe 2.58

# 2
Compound: Cr2FeRu
Source: the Alexandria database
Functional: PBE-GGA
Structure: relaxed

Values from the calculation:
Relative energy among the computed polymorphs, eV/atom: 0.031

abc: 2.6003 2.6003 7.0836
angles: 90.00 90.00 90.00
Closest atoms and distances in Å follow each position.
Sites, in units of the cell vectors:
Cr (0.0000, 0.0000, 0.2327)  4 Fe 2.47, 4 Cr 2.60, 4 Ru 2.64
Cr (0.0000, 0.0000, 0.7673)  4 Fe 2.47, 4 Cr 2.60, 4 Ru 2.64
Fe (0.5000, 0.5000, 0.0000)  8 Cr 2.47, 4 Fe 2.60
Ru (0.5000, 0.5000, 0.5000)  4 Ru 2.60, 8 Cr 2.64

# 3
Compound: Cr2FeRu
Source: the Alexandria database
Functional: PBE-GGA
Structure: relaxed

Values from the calculation:
Relative energy among the computed polymorphs, eV/atom: 0.000

abc: 2.9111 2.9111 5.7896
angles: 90.00 90.00 90.00
Closest atoms and distances in Å follow each position.
Sites, in units of the cell vectors:
Cr (0.0000, 0.0000, 0.0000)  4 Cr 2.45, 4 Ru 2.57, 1 Fe 2.66
Cr (0.5000, 0.5000, 0.2306)  4 Fe 2.45, 4 Cr 2.45
Fe (0.0000, 0.0000, 0.4595)  5 Cr 2.45-2.66, 4 Ru 2.60
Ru (0.5000, 0.5000, 0.7345)  5 Cr 2.57-2.87, 4 Fe 2.60

# 4
Compound: Cr3FeRu
Source: the Alexandria database
Functional: PBE-GGA
Structure: relaxed

Values from the calculation:
Relative energy among the computed polymorphs, eV/atom: 0.000

abc: 4.1231 4.1231 4.1231
angles: 90.00 90.00 90.00
Closest atoms and distances in Å follow each position.
Sites, in units of the cell vectors:
Cr (0.0000, 0.0000, 0.5000)  2 Fe 2.06
Cr (0.0000, 0.5000, 0.0000)  2 Fe 2.06
Cr (0.5000, 0.0000, 0.0000)  2 Fe 2.06
Fe (0.0000, 0.0000, 0.0000)  6 Cr 2.06
Ru (0.5000, 0.5000, 0.5000)  12 Cr 2.92

# 5
Compound: Cr4FeRu
Source: the Alexandria database
Functional: PBE-GGA
Structure: relaxed

Values from the calculation:
E_tot, eV/atom: -9.235

abc: 4.6848 4.6848 4.6848
angles: 60.00 60.00 60.00
Closest atoms and distances in Å follow each position.
Sites, in units of the cell vectors:
Cr (0.1235, 0.1235, 0.1235)  6 Cr 2.31-2.37
Cr (0.1235, 0.1235, 0.6296)  6 Cr 2.31-2.37
Cr (0.1235, 0.6296, 0.1235)  6 Cr 2.31-2.37
Cr (0.6296, 0.1235, 0.1235)  6 Cr 2.31-2.37
Fe (0.7500, 0.7500, 0.7500)  12 Cr 2.74, 4 Ru 2.87
Ru (0.5000, 0.5000, 0.5000)  12 Cr 2.75, 4 Fe 2.87

# 6
Compound: Cr2FeRu
Source: the Alexandria database
Functional: PBE-GGA
Structure: relaxed

Values from the calculation:
Relative energy among the computed polymorphs, eV/atom: 0.057

abc: 8.4898 2.6106 4.4515
angles: 90.00 100.19 90.00
Closest atoms and distances in Å follow each position.
Sites, in units of the cell vectors:
Cr (0.0000, 0.0000, 0.0000)  3 Fe 2.49-2.54, 4 Ru 2.56-2.60, 5 Cr 2.57-2.63
Cr (0.2443, 0.0000, 0.7317)  3 Ru 2.52-2.58, 4 Fe 2.53-2.63, 5 Cr 2.57-2.63
Cr (0.5000, 0.5000, 0.0000)  3 Fe 2.49-2.54, 4 Ru 2.56-2.60, 5 Cr 2.57-2.63
Cr (0.7443, 0.5000, 0.7317)  3 Ru 2.52-2.58, 4 Fe 2.53-2.63, 5 Cr 2.57-2.63
Fe (0.2438, 0.5000, 0.2188)  7 Cr 2.49-2.63, 3 Ru 2.59-2.64, 2 Fe 2.61
Fe (0.7438, 0.0000, 0.2188)  7 Cr 2.49-2.63, 3 Ru 2.59-2.64, 2 Fe 2.61
Ru (0.4917, 0.0000, 0.4913)  7 Cr 2.52-2.60, 3 Fe 2.59-2.64, 2 Ru 2.61
Ru (0.9917, 0.5000, 0.4913)  7 Cr 2.52-2.60, 3 Fe 2.59-2.64, 2 Ru 2.61